Compound: CdC3
Source: Alexandria
Functional: PBE
Structure: optimized geometry

a b c (Å): 7.016 7.016 7.016
angles (deg): 22.20 22.20 22.20
Fractional positions:
1 Cd 0.000 0.000 0.000
2 C 0.206 0.206 0.206
3 C 0.500 0.500 0.500
4 C 0.794 0.794 0.794

Computed properties:
For the energy relative to the elements, the calculation gives 2282 meV/atom. Its space group is R-3m. As for the polymorph energy (0 for the lowest one): 1.674 eV per atom. The total magnetization comes out at 0.00 μB per formula unit.